[1]
{"formula": "InPt2Cl2", "functional": "SCAN", "state": "single point on PBEsol structure", "e_form_raw_mev_per_atom": 354, "crystal_system": "tetragonal", "e_tot_ev_per_atom": -37.5921, "dos_ef_per_ev_atom": 0.64, "density_g_cm3": 9.88, "cell": [[-2.8182, -2.7876, 1.0556], [0.8219, -2.1231, -3.4124], [5.0165, -0.5360, 4.0073]], "species": ["Cl", "Cl", "Pt", "Pt", "In"], "frac_coords": [[0.2500, 0.7500, 0.5000], [0.7500, 0.2500, 0.5000], [0.6083, 0.6083, 0.2166], [0.3917, 0.3917, 0.7834], [0.0000, 0.0000, 0.0000]]}

[2]
{"formula": "Hg2AuCl", "functional": "SCAN", "state": "single point on PBEsol structure", "polymorph_energy_ev_per_atom": 0.0000, "e_form_raw_mev_per_atom": 2, "crystal_system": "monoclinic", "e_tot_ev_per_atom": -53.3642, "dos_ef_per_ev_atom": 0.36, "density_g_cm3": 12.94, "cell": [[2.9375, -0.2860, -0.2887], [0.7243, 5.1907, -0.0254], [0.7243, -0.0742, 5.1903]], "species": ["Au", "Cl", "Hg", "Hg"], "frac_coords": [[0.5000, 0.5000, 0.5000], [0.5000, 0.0000, 0.0000], [0.0000, 0.5000, 0.0000], [0.0000, 0.0000, 0.5000]]}

[3]
{"formula": "Sc2TiGa2", "functional": "SCAN", "state": "single point on PBEsol structure", "formation_energy_ev_per_atom": -0.533, "crystal_system": "tetragonal", "e_tot_ev_per_atom": -15.9726, "dos_ef_per_ev_atom": 1.14, "density_g_cm3": 4.92, "cell": [[-3.7729, 0.1106, -0.8928], [0.2987, -6.6169, -2.0823], [-1.5825, -2.0943, 6.4280]], "species": ["Sc", "Sc", "Sc", "Sc", "Ga", "Ga", "Ga", "Ga", "Ti", "Ti"], "frac_coords": [[0.5000, 0.3247, 0.1753], [0.5000, 0.8247, 0.3247], [0.5000, 0.1753, 0.6753], [0.5000, 0.6753, 0.8247], [0.0000, 0.8710, 0.6290], [0.0000, 0.6290, 0.1290], [0.0000, 0.3710, 0.8710], [0.0000, 0.1290, 0.3710], [0.0000, 0.0000, 0.0000], [0.0000, 0.5000, 0.5000]]}

[4]
{"formula": "CrTeBr", "functional": "SCAN", "state": "single point on PBEsol structure", "e_form_raw_mev_per_atom": -425, "crystal_system": "orthorhombic", "e_tot_ev_per_atom": -25.4568, "dos_ef_per_ev_atom": 0.43, "density_g_cm3": 5.59, "cell": [[-0.4506, -0.4675, -3.4018], [3.2759, -0.3832, 1.0562], [-2.5673, -6.4276, 2.2675]], "species": ["Br", "Te", "Cr"], "frac_coords": [[0.9575, 0.9575, 0.9150], [0.7052, 0.7052, 0.4103], [0.3374, 0.3374, 0.6747]]}

[5]
{"formula": "Ag2H2I", "functional": "SCAN", "state": "single point on PBEsol structure", "crystal_system": "tetragonal", "e_tot_ev_per_atom": -21.0978, "dos_ef_per_ev_atom": 0.40, "density_g_cm3": 6.20, "cell": [[3.7496, 0.0000, 0.0000], [0.0000, 3.7496, 0.0000], [-1.8748, -1.8748, 6.5664]], "species": ["Ag", "Ag", "I", "H", "H"], "frac_coords": [[0.7851, 0.7851, 0.5702], [0.2149, 0.2149, 0.4298], [0.0000, 0.0000, 0.0000], [0.7500, 0.2500, 0.5000], [0.2500, 0.7500, 0.5000]]}

[6]
{"formula": "HgSbO2", "functional": "SCAN", "state": "single point on PBEsol structure", "polymorph_energy_ev_per_atom": 0.0000, "e_form_raw_mev_per_atom": -757, "crystal_system": "cubic", "e_tot_ev_per_atom": -30.2290, "dos_ef_per_ev_atom": 0.04, "density_g_cm3": 6.24, "cell": [[-2.0974, -2.8652, 5.3687], [-2.6194, -5.8721, -0.2986], [3.1707, -5.0640, 2.3947]], "species": ["O", "O", "O", "O", "Hg", "Hg", "Sb", "Sb"], "frac_coords": [[0.1250, 0.1250, 0.6250], [0.1250, 0.6250, 0.1250], [0.6250, 0.1250, 0.1250], [0.1250, 0.1250, 0.1250], [0.7500, 0.7500, 0.7500], [0.5000, 0.5000, 0.5000], [0.2500, 0.2500, 0.2500], [0.0000, 0.0000, 0.0000]]}

[7]
{"formula": "RbSrSiHO4", "functional": "SCAN", "state": "single point on PBEsol structure", "crystal_system": "monoclinic", "e_tot_ev_per_atom": -12.7685, "dos_ef_per_ev_atom": 0.00, "density_g_cm3": 3.88, "cell": [[-2.6685, -4.3281, 2.7066], [4.5378, 2.5455, 2.5741], [-4.7927, 5.0906, 3.4150]], "species": ["O", "O", "O", "O", "O", "O", "O", "O", "Sr", "Sr", "Si", "Si", "Rb", "Rb", "H", "H"], "frac_coords": [[0.5261, 0.7041, 0.0948], [0.4739, 0.2959, 0.5948], [0.4861, 0.3030, 0.9326], [0.1209, 0.3040, 0.2599], [0.5139, 0.6970, 0.4326], [0.8479, 0.2122, 0.7610], [0.1521, 0.7878, 0.2610], [0.8791, 0.6960, 0.7599], [0.9916, 0.9943, 0.0133], [0.0084, 0.0057, 0.5133], [0.3152, 0.6232, 0.2557], [0.6848, 0.3768, 0.7557], [0.3582, 0.7151, 0.7670], [0.6418, 0.2849, 0.2670], [0.5055, 0.4707, 0.9988], [0.4945, 0.5293, 0.4988]]}

[8]
{"formula": "KScTe", "functional": "SCAN", "state": "single point on PBEsol structure", "polymorph_energy_ev_per_atom": 0.8667, "e_form_raw_mev_per_atom": 280, "crystal_system": "cubic", "e_tot_ev_per_atom": -19.6594, "dos_ef_per_ev_atom": 1.93, "density_g_cm3": 3.44, "cell": [[-3.5259, 0.4300, -3.8643], [1.2648, -1.4582, -4.8810], [-2.1429, -4.3119, -2.0892]], "species": ["K", "Te", "Sc"], "frac_coords": [[0.2500, 0.2500, 0.2500], [0.5000, 0.5000, 0.5000], [0.0000, 0.0000, 0.0000]]}